Record 1
A plane-wave DFT calculation with PBE-GGA was carried out for a relaxed CdCl2F crystal.

Structure (extended XYZ):
```
8
Lattice="-3.363 3.363 4.766 3.363 -3.363 4.766 3.363 3.363 -4.766" Properties=species:S:1:pos:R:3 pbc="T T T"
Cd 0.000 0.000 0.000
Cd 0.000 3.363 2.383
Cl 5.045 1.443 -1.191
Cl 1.443 1.682 1.191
Cl -1.682 1.920 3.574
Cl 1.920 1.682 5.957
F 3.363 0.000 2.383
F 0.000 0.000 4.766
```

Results
The calculation puts the total energy at -0.1635 Ry/atom. As for the formation energy without anion corrections: -0.605 eV per atom. The calculated volume is 108 Å³/f.u. The calculation puts the energy above the most stable polymorph in this dataset at 0.383 eV/f.u. The crystal system is tetragonal. The total moment comes out at 0.250 μB per atom. The density is 3.1 Mg/m³.

Record 2
A plane-wave DFT calculation with PBE-GGA was carried out for a relaxed Cd2ClF crystal.

Structure (extended XYZ):
```
8
Lattice="-2.585 2.585 7.529 2.585 -2.585 7.529 2.585 2.585 -7.529" Properties=species:S:1:pos:R:3 pbc="T T T"
Cd 3.878 0.792 -1.882
Cd 0.792 1.293 1.882
Cd -1.293 1.794 5.647
Cd 1.794 1.293 9.411
Cl 2.585 0.000 3.764
Cl 0.000 0.000 7.529
F 0.000 0.000 0.000
F 0.000 2.585 3.764
```

Results
The calculation puts the total energy at -0.1683 Ry/atom. As for the formation energy without anion corrections: -0.902 eV per atom. The calculated volume is 101 Å³/f.u. The calculation puts the energy above the most stable polymorph in this dataset at 0.000 eV/f.u. The crystal system is tetragonal. The total moment comes out at 0.000 μB per atom. The density is 4.6 Mg/m³.

Record 3
A plane-wave DFT calculation with PBE-GGA was carried out for a relaxed Cd2ClF crystal.

Structure (extended XYZ):
```
4
Lattice="0.000 3.436 3.436 3.436 0.000 3.436 3.436 3.436 0.000" Properties=species:S:1:pos:R:3 pbc="T T T"
Cd 1.718 1.718 1.718
Cd 5.154 5.154 5.154
Cl 0.000 0.000 0.000
F 3.436 3.436 3.436
```

Results
The calculation puts the total energy at -0.1501 Ry/atom. As for the formation energy without anion corrections: -0.655 eV per atom. The calculated volume is 81 Å³/f.u. The calculation puts the energy above the most stable polymorph in this dataset at 0.992 eV/f.u. The crystal system is cubic. The total moment comes out at 0.000 μB per atom. The density is 5.7 Mg/m³.